No. 1
## AsPd4Pb3 (PBE)

Data for crystalline AsPd4Pb3 at its relaxed geometry.

- formation enthalpy at 0 K (meV per atom) = -122

abc: 7.820 8.839 5.472
angles: 90.00 90.00 90.00
Fractional positions:
As 0.000 0.149 0.000
As 0.500 0.851 0.500
Pd 0.000 0.144 0.468
Pd 0.000 0.898 0.816
Pd 0.183 0.343 0.812
Pd 0.317 0.657 0.312
Pd 0.500 0.102 0.316
Pd 0.500 0.856 0.968
Pd 0.683 0.657 0.312
Pd 0.817 0.343 0.812
Pb 0.000 0.826 0.323
Pb 0.232 0.655 0.816
Pb 0.268 0.345 0.316
Pb 0.500 0.174 0.823
Pb 0.732 0.345 0.316
Pb 0.768 0.655 0.816

=====

No. 2
## Cs2RbTeS (PBE)

Data for crystalline Cs2RbTeS at its relaxed geometry.

- raw formation energy (eV/atom) = -0.740

abc: 6.572 6.572 6.352
angles: 90.00 90.00 90.00
Fractional positions:
Cs 0.000 0.500 0.000
Cs 0.500 0.000 0.000
Rb 0.000 0.000 0.500
Te 0.500 0.500 0.500
S 0.000 0.000 0.000

=====

No. 3
## ZrTa2Fe (PBE)

Data for crystalline ZrTa2Fe at its relaxed geometry.

- formation enthalpy at 0 K (meV per atom) = -10
- E above lowest polymorph (eV per atom) = 0.019

abc: 3.237 4.517 9.455
angles: 90.00 90.00 90.00
Fractional positions:
Zr 0.000 0.000 0.000
Zr 0.500 0.500 0.500
Ta 0.000 0.500 0.233
Ta 0.000 0.500 0.767
Ta 0.500 0.000 0.267
Ta 0.500 0.000 0.733
Fe 0.000 0.000 0.500
Fe 0.500 0.500 0.000

=====

No. 4
## ZrBeGaCl2 (PBE)

Data for crystalline ZrBeGaCl2 at its relaxed geometry.

- raw formation energy (eV/atom) = 0.040

abc: 4.135 4.135 6.264
angles: 90.00 90.00 90.00
Fractional positions:
Zr 0.000 0.000 0.000
Be 0.500 0.500 0.500
Ga 0.500 0.500 0.000
Cl 0.000 0.500 0.500
Cl 0.500 0.000 0.500

=====

No. 5
## DyTmB (PBE)

Data for crystalline DyTmB at its relaxed geometry.

- formation enthalpy at 0 K (meV per atom) = 40

abc: 7.524 7.524 7.524
angles: 94.78 94.78 94.78
Fractional positions:
Dy 0.184 0.410 0.549
Dy 0.410 0.549 0.184
Dy 0.451 0.816 0.590
Dy 0.549 0.184 0.410
Dy 0.590 0.451 0.816
Dy 0.816 0.590 0.451
Tm 0.075 0.681 0.909
Tm 0.091 0.925 0.319
Tm 0.319 0.091 0.925
Tm 0.681 0.909 0.075
Tm 0.909 0.075 0.681
Tm 0.925 0.319 0.091
B 0.091 0.583 0.261
B 0.261 0.091 0.583
B 0.417 0.739 0.909
B 0.583 0.261 0.091
B 0.739 0.909 0.417
B 0.909 0.417 0.739

=====

No. 6
## YZr2ScC (PBE)

Data for crystalline YZr2ScC at its relaxed geometry.

- formation enthalpy at 0 K (meV per atom) = -154
- E above lowest polymorph (eV per atom) = 0.000

abc: 4.638 4.638 5.010
angles: 90.00 90.00 90.00
Fractional positions:
Y 0.000 0.000 0.000
Zr 0.000 0.500 0.500
Zr 0.500 0.000 0.500
Sc 0.500 0.500 0.000
C 0.000 0.000 0.500

=====

No. 7
## Er5In2Te2 (PBE)

Data for crystalline Er5In2Te2 at its relaxed geometry.

- raw formation energy (eV/atom) = -0.781

abc: 8.718 8.718 8.027
angles: 90.00 90.00 54.61
Fractional positions:
Er 0.000 0.000 0.000
Er 0.032 0.696 0.666
Er 0.196 0.532 0.166
Er 0.304 0.968 0.666
Er 0.468 0.804 0.166
Er 0.500 0.500 0.500
Er 0.532 0.196 0.834
Er 0.696 0.032 0.334
Er 0.804 0.468 0.834
Er 0.968 0.304 0.334
In 0.131 0.869 0.371
In 0.369 0.631 0.871
In 0.631 0.369 0.129
In 0.869 0.131 0.629
Te 0.203 0.203 0.000
Te 0.297 0.297 0.500
Te 0.703 0.703 0.500
Te 0.797 0.797 0.000

=====

No. 8
## RbLiPa2N4 (PBE)

Data for crystalline RbLiPa2N4 at its relaxed geometry.

- raw formation energy (eV/atom) = -0.763

abc: 5.505 5.505 10.198
angles: 90.00 90.00 90.00
Fractional positions:
Rb 0.000 0.000 0.000
Rb 0.500 0.500 0.500
Li 0.000 0.000 0.500
Li 0.500 0.500 0.000
Pa 0.000 0.500 0.250
Pa 0.000 0.500 0.750
Pa 0.500 0.000 0.250
Pa 0.500 0.000 0.750
N 0.211 0.211 0.342
N 0.211 0.789 0.658
N 0.289 0.289 0.842
N 0.289 0.711 0.158
N 0.711 0.289 0.158
N 0.711 0.711 0.842
N 0.789 0.211 0.658
N 0.789 0.789 0.342

=====

No. 9
## ScNi2Ru (PBE)

Data for crystalline ScNi2Ru at its relaxed geometry.

- formation enthalpy at 0 K (meV per atom) = -187

abc: 2.893 4.227 4.490
angles: 90.00 90.00 90.00
Fractional positions:
Sc 0.000 0.000 0.000
Ni 0.500 0.000 0.512
Ni 0.500 0.500 0.874
Ru 0.000 0.500 0.411

=====

No. 10
## Sm6ErTm (PBE)

Data for crystalline Sm6ErTm at its relaxed geometry.

- formation enthalpy at 0 K (meV per atom) = 17

abc: 8.788 8.050 6.211
angles: 74.84 62.15 43.01
Fractional positions:
Sm 0.124 0.124 0.376
Sm 0.250 0.250 0.750
Sm 0.376 0.376 0.124
Sm 0.624 0.624 0.876
Sm 0.750 0.750 0.250
Sm 0.876 0.876 0.624
Er 0.000 0.000 0.000
Tm 0.500 0.500 0.500

=====

No. 11
## La5Tb4Dy2 (PBE)

Data for crystalline La5Tb4Dy2 at its relaxed geometry.

- formation enthalpy at 0 K (meV per atom) = 118
- E above lowest polymorph (eV per atom) = 0.000

abc: 9.341 9.341 11.705
angles: 95.17 95.17 22.44
Fractional positions:
La 0.000 0.000 0.000
La 0.333 0.333 0.013
La 0.345 0.345 0.512
La 0.655 0.655 0.488
La 0.667 0.667 0.987
Tb 0.208 0.208 0.741
Tb 0.466 0.466 0.271
Tb 0.534 0.534 0.729
Tb 0.792 0.792 0.259
Dy 0.128 0.128 0.231
Dy 0.872 0.872 0.769

=====

No. 12
## Ba3NaRe2N6 (PBE)

Data for crystalline Ba3NaRe2N6 at its relaxed geometry.

- raw formation energy (eV/atom) = -0.496

abc: 6.273 6.273 7.334
angles: 90.00 90.00 120.00
Fractional positions:
Ba 0.000 0.000 0.000
Ba 0.333 0.667 0.677
Ba 0.667 0.333 0.323
Na 0.000 0.000 0.500
Re 0.333 0.667 0.208
Re 0.667 0.333 0.792
N 0.175 0.351 0.279
N 0.175 0.825 0.279
N 0.351 0.175 0.721
N 0.649 0.825 0.279
N 0.825 0.175 0.721
N 0.825 0.649 0.721

=====

No. 13
## V3CdP (PBE)

Data for crystalline V3CdP at its relaxed geometry.

- formation enthalpy at 0 K (meV per atom) = 192
- E above lowest polymorph (eV per atom) = 0.000

abc: 4.415 4.415 4.415
angles: 90.00 90.00 90.00
Fractional positions:
V 0.000 0.000 0.500
V 0.000 0.500 0.000
V 0.500 0.000 0.000
Cd 0.500 0.500 0.500
P 0.000 0.000 0.000

=====

No. 14
## ErSn3Ru2 (PBE)

Data for crystalline ErSn3Ru2 at its relaxed geometry.

- formation enthalpy at 0 K (meV per atom) = -165

abc: 6.471 6.471 6.934
angles: 90.00 90.00 120.00
Fractional positions:
Er 0.333 0.667 0.187
Er 0.667 0.333 0.813
Sn 0.169 0.338 0.787
Sn 0.169 0.831 0.787
Sn 0.338 0.169 0.213
Sn 0.662 0.831 0.787
Sn 0.831 0.169 0.213
Sn 0.831 0.662 0.213
Ru 0.000 0.000 0.500
Ru 0.000 0.500 0.500
Ru 0.500 0.000 0.500
Ru 0.500 0.500 0.500

=====

No. 15
## AlSi2Se (PBE)

Data for crystalline AlSi2Se at its relaxed geometry.

- raw formation energy (eV/atom) = -0.037
- E above lowest polymorph (eV per atom) = 0.000

abc: 3.740 3.740 19.492
angles: 90.00 90.00 120.00
Fractional positions:
Al 0.000 0.000 0.000
Al 0.333 0.667 0.667
Al 0.667 0.333 0.333
Si 0.000 0.000 0.239
Si 0.000 0.000 0.526
Si 0.333 0.667 0.193
Si 0.333 0.667 0.906
Si 0.667 0.333 0.573
Si 0.667 0.333 0.860
Se 0.000 0.000 0.735
Se 0.333 0.667 0.402
Se 0.667 0.333 0.068

=====

No. 16
## EuHgSb2 (PBE)

Data for crystalline EuHgSb2 at its relaxed geometry.

- raw formation energy (eV/atom) = -0.481
- E above lowest polymorph (eV per atom) = 0.000

abc: 4.831 4.831 4.656
angles: 90.00 90.00 90.00
Fractional positions:
Eu 0.000 0.000 0.000
Hg 0.500 0.500 0.000
Sb 0.000 0.500 0.500
Sb 0.500 0.000 0.500

=====

No. 17
## TaAgRu2 (PBE)

Data for crystalline TaAgRu2 at its relaxed geometry.

- formation enthalpy at 0 K (meV per atom) = 128
- E above lowest polymorph (eV per atom) = 0.058

abc: 6.315 6.315 6.315
angles: 90.00 90.00 90.00
Fractional positions:
Ta 0.000 0.000 0.000
Ta 0.000 0.500 0.500
Ta 0.500 0.000 0.500
Ta 0.500 0.500 0.000
Ag 0.000 0.000 0.500
Ag 0.000 0.500 0.000
Ag 0.500 0.000 0.000
Ag 0.500 0.500 0.500
Ru 0.250 0.250 0.250
Ru 0.250 0.250 0.750
Ru 0.250 0.750 0.250
Ru 0.250 0.750 0.750
Ru 0.750 0.250 0.250
Ru 0.750 0.250 0.750
Ru 0.750 0.750 0.250
Ru 0.750 0.750 0.750

=====

No. 18
## Sr2CrAg (PBE)

Data for crystalline Sr2CrAg at its relaxed geometry.

- formation enthalpy at 0 K (meV per atom) = 304
- E above lowest polymorph (eV per atom) = 0.112

abc: 3.853 3.853 8.748
angles: 90.00 90.00 90.00
Fractional positions:
Sr 0.000 0.000 0.000
Sr 0.500 0.500 0.385
Cr 0.500 0.500 0.751
Ag 0.000 0.000 0.626

=====

No. 19
## MgTlCr2 (PBE)

Data for crystalline MgTlCr2 at its relaxed geometry.

- formation enthalpy at 0 K (meV per atom) = 900

abc: 7.713 7.713 5.956
angles: 90.00 90.00 90.00
Fractional positions:
Mg 0.000 0.000 0.000
Mg 0.000 0.500 0.250
Mg 0.500 0.000 0.750
Mg 0.500 0.500 0.500
Tl 0.000 0.000 0.500
Tl 0.000 0.500 0.750
Tl 0.500 0.000 0.250
Tl 0.500 0.500 0.000
Cr 0.246 0.250 0.625
Cr 0.250 0.746 0.875
Cr 0.250 0.754 0.375
Cr 0.254 0.250 0.125
Cr 0.746 0.750 0.125
Cr 0.750 0.246 0.375
Cr 0.750 0.254 0.875
Cr 0.754 0.750 0.625

=====

No. 20
## SrLi2Mg4 (PBE)

Data for crystalline SrLi2Mg4 at its relaxed geometry.

- formation enthalpy at 0 K (meV per atom) = -30

abc: 5.813 7.857 8.001
angles: 90.00 90.00 90.00
Fractional positions:
Sr 0.000 0.000 0.000
Sr 0.500 0.500 0.500
Li 0.248 0.500 0.000
Li 0.252 0.000 0.500
Li 0.748 0.000 0.500
Li 0.752 0.500 0.000
Mg 0.000 0.305 0.308
Mg 0.000 0.305 0.692
Mg 0.000 0.695 0.308
Mg 0.000 0.695 0.692
Mg 0.500 0.195 0.192
Mg 0.500 0.195 0.808
Mg 0.500 0.805 0.192
Mg 0.500 0.805 0.808